! KAgSe2 PBE relaxed; values from VASP
! Space-group type: Immm, No. 71
! E (eV/atom): -3.110
! Fermi-level density of states (states/eV/f.u.): 0.7
&SYSTEM
  ibrav = 0, nat = 4, ntyp = 3
/
ATOMIC_SPECIES
K 39.10 K.upf
Se 78.96 Se.upf
Ag 107.87 Ag.upf
ATOMIC_POSITIONS crystal
K 0.250 0.750 0.500
Se 0.575 0.575 0.000
Se 0.925 0.925 0.000
Ag 0.750 0.250 0.500
CELL_PARAMETERS angstrom
5.876 -0.012 0.013
0.942 5.800 -0.013
-2.309 -4.190 3.412